A plane-wave DFT calculation with PBE-GGA was carried out for Be5Ni6 after structural relaxation.

Results
The energy of formation from the pure elements is -0.369 eV per atom. As for the total DFT energy (no corrections): -5.22 eV/atom. Its crystal system is orthorhombic.

Lattice parameters (Å, degrees): 3.6544 5.1571 10.9093 90.00 90.00 90.00
Space group Immm (No. 71)
Asymmetric unit:
1 Be 0.0000 0.0000 0.0000 x2
2 Be 0.0000 0.0000 0.3260 x4
3 Be 0.0000 0.5000 0.3349 x4
4 Ni 0.0000 0.2390 0.5000 x4
5 Ni 0.0000 0.2556 0.1630 x8



A plane-wave DFT calculation with PBE-GGA was carried out for MnPb2Br after structural relaxation.

Results
As for the total DFT energy (no corrections): -4.42 eV/atom. The value obtained for the formation energy from raw total energies is 0.148 eV/atom. Its crystal system is monoclinic. The distance to the lowest polymorph of the same formula comes out at 0.120 eV per atom.

Lattice parameters (Å, degrees): 3.6067 5.6817 5.8791 90.00 107.75 90.00
Space group Pm (No. 6)
Asymmetric unit:
1 Mn 0.0000 0.0000 0.0000 x1
2 Pb 0.2755 0.0000 0.5502 x1
3 Pb 0.7601 0.5000 0.5179 x1
4 Br 0.0203 0.5000 0.0391 x1



A plane-wave DFT calculation with PBE-GGA was carried out for ReBPC after structural relaxation.

Results
The energy of formation from the pure elements is 0.242 eV per atom. As for the total DFT energy (no corrections): -8.20 eV/atom. Its crystal system is orthorhombic. The distance to the lowest polymorph of the same formula comes out at 0.131 eV per atom.

Lattice parameters (Å, degrees): 2.8930 2.9991 10.5588 90.00 90.00 90.00
Space group Imm2 (No. 44)
Asymmetric unit:
1 Re 0.0000 0.0000 0.0000 x2
2 B 0.0000 0.0000 0.5922 x2
3 P 0.0000 0.5000 0.3273 x2
4 C 0.0000 0.5000 0.1578 x2



A plane-wave DFT calculation with PBE-GGA was carried out for BaSmCu10 after structural relaxation.

Results
The energy of formation from the pure elements is -0.074 eV per atom. As for the total DFT energy (no corrections): -4.04 eV/atom. Its crystal system is orthorhombic.

Lattice parameters (Å, degrees): 4.0251 5.3174 9.1525 90.00 90.00 90.00
Space group Pmmm (No. 47)
Asymmetric unit:
1 Ba 0.0000 0.0000 0.0000 x1
2 Sm 0.0000 0.5000 0.5000 x1
3 Cu 0.0000 0.0000 0.3419 x2
4 Cu 0.0000 0.5000 0.1791 x2
5 Cu 0.5000 0.0000 0.5000 x1
6 Cu 0.5000 0.2597 0.2659 x4
7 Cu 0.5000 0.5000 0.0000 x1



A plane-wave DFT calculation with PBE-GGA was carried out for TaCd after structural relaxation.

Results
The energy of formation from the pure elements is 0.336 eV per atom. As for the total DFT energy (no corrections): -6.05 eV/atom. Its crystal system is monoclinic.

Lattice parameters (Å, degrees): 10.0371 2.9135 5.4493 90.00 100.11 90.00
Space group C2/m (No. 12)
Asymmetric unit:
1 Ta 0.1337 0.0000 0.4120 x4
2 Cd 0.1218 0.5000 0.8944 x4



A plane-wave DFT calculation with PBE-GGA was carried out for Y3Zn2Cu after structural relaxation.

Results
The energy of formation from the pure elements is -0.315 eV per atom. As for the total DFT energy (no corrections): -4.65 eV/atom. Its crystal system is orthorhombic. The distance to the lowest polymorph of the same formula comes out at 0.004 eV per atom.

Lattice parameters (Å, degrees): 5.0221 15.0513 3.5457 90.00 90.00 90.00
Space group Cmmm (No. 65)
Asymmetric unit:
1 Y 0.0000 0.0000 0.0000 x2
2 Y 0.0000 0.3375 0.0000 x4
3 Zn 0.0000 0.1713 0.5000 x4
4 Cu 0.0000 0.5000 0.5000 x2



A plane-wave DFT calculation with PBE-GGA was carried out for AlAg3Os after structural relaxation.

Results
The energy of formation from the pure elements is 1.522 eV per atom. As for the total DFT energy (no corrections): -3.18 eV/atom. Its crystal system is cubic. The distance to the lowest polymorph of the same formula comes out at 0.110 eV per atom.

Lattice parameters (Å, degrees): 5.1062 5.1062 5.1062 90.00 90.00 90.00
Space group Pm-3m (No. 221)
Asymmetric unit:
1 Al 0.0000 0.0000 0.0000 x1
2 Ag 0.0000 0.5000 0.5000 x3
3 Os 0.5000 0.5000 0.5000 x1



A plane-wave DFT calculation with PBE-GGA was carried out for AlHgRh2 after structural relaxation.

Results
The energy of formation from the pure elements is -0.130 eV per atom. As for the total DFT energy (no corrections): -4.82 eV/atom. Its crystal system is tetragonal. The distance to the lowest polymorph of the same formula comes out at 0.367 eV per atom.

Lattice parameters (Å, degrees): 3.1440 3.1440 6.5524 90.00 90.00 90.00
Space group P4mm (No. 99)
Asymmetric unit:
1 Al 0.0000 0.0000 0.0000 x1
2 Hg 0.5000 0.5000 0.3059 x1
3 Rh 0.0000 0.0000 0.5691 x1
4 Rh 0.5000 0.5000 0.8364 x1



We obtain calculated volume values of 9.345 28.685 11.452 16.325 19.610 22.334 26.627 16.192 Å³ per atom for the records listed above, in that order.
We obtain density values of 6.42 7.95 8.70 7.83 12.42 5.71 6.75 11.11 g cm⁻³ for the records listed above, in that order.
We obtain total moment values of 0.0 4.6 0.0 0.0 0.0 0.0 2.2 0.0 μB per formula unit for the records listed above, in that order.